(1)
Compound: RhBr
Source: Alexandria
Functional: GGA-PBE
Structure: relaxed

```
RhBr
1.0
-1.8407 1.8517 5.6898
1.8407 -1.8517 5.6898
1.8407 1.8517 -5.6898
Rh Br
2 2
Direct
0.1130 0.1130 0.0000
0.8870 0.8870 0.0000
0.3564 0.3564 0.0000
0.6436 0.6436 0.0000
```

Values from the calculation:
formation energy without anion corrections	73	kJ/mol of formula units


(2)
Compound: RhBr
Source: Alexandria
Functional: GGA-PBE
Structure: relaxed

```
RhBr
1.0
3.9151 0.0000 0.0000
0.0000 3.9151 0.0000
0.0000 0.0000 5.8422
Rh Br
2 2
Direct
0.2500 0.7500 0.0000
0.7500 0.2500 0.0000
0.2500 0.2500 0.2921
0.7500 0.7500 0.7079
```

Values from the calculation:
formation energy without anion corrections	77	kJ/mol of formula units


(3)
Compound: RhBr
Source: Alexandria
Functional: GGA-PBE
Structure: relaxed

```
RhBr
1.0
0.0000 3.3230 3.3230
3.3230 0.0000 3.3230
3.3230 3.3230 0.0000
Rh Br
2 2
Direct
0.1250 0.1250 0.1250
0.8750 0.8750 0.8750
0.3750 0.3750 0.3750
0.6250 0.6250 0.6250
```

Values from the calculation:
formation energy without anion corrections	175	kJ/mol of formula units


(4)
Compound: RhBr5
Source: Alexandria
Functional: GGA-PBE
Structure: relaxed

```
RhBr5
1.0
8.5235 0.0000 0.0000
0.0000 1.8453 6.6027
0.0000 -1.8453 6.6027
Rh Br
1 5
Direct
0.0000 0.0000 0.0000
0.0000 0.3769 0.3769
0.0000 0.6231 0.6231
0.5000 0.1183 0.1183
0.5000 0.4517 0.4517
0.5000 0.7851 0.7851
```

Values from the calculation:
energy relative to the lowest polymorph listed for this composition	0.0	kJ/mol of atoms
formation energy without anion corrections	58	kJ/mol of formula units


(5)
Compound: RhBr
Source: Alexandria
Functional: GGA-PBE
Structure: relaxed

```
RhBr
1.0
4.9931 0.0000 0.0000
0.0000 4.9931 0.0000
0.0000 0.0000 3.2781
Rh Br
2 2
Direct
0.2500 0.2500 0.1517
0.7500 0.7500 0.8483
0.2500 0.7500 0.0000
0.7500 0.2500 0.0000
```

Values from the calculation:
formation energy without anion corrections	104	kJ/mol of formula units


(6)
Compound: RhBr
Source: Alexandria
Functional: GGA-PBE
Structure: relaxed

```
RhBr
1.0
1.7396 -7.2100 0.0000
1.7396 7.2100 0.0000
0.0000 0.0000 3.4216
Rh Br
2 2
Direct
0.0730 0.9270 0.7500
0.9270 0.0730 0.2500
0.3674 0.6326 0.7500
0.6326 0.3674 0.2500
```

Values from the calculation:
formation energy without anion corrections	74	kJ/mol of formula units


Number 1: total DFT energy (no corrections) -4.135 eV per atom. Number 2: total DFT energy (no corrections) -4.113 eV per atom. Number 3: total DFT energy (no corrections) -3.607 eV per atom. Number 4: total DFT energy (no corrections) -2.520 eV per atom. Number 5: total DFT energy (no corrections) -3.973 eV per atom. Number 6: total DFT energy (no corrections) -4.129 eV per atom.